Record 1
Computed, not measured: a geometry-optimized Ti2ReNi structure at the GGA-PBE level of DFT.

## Properties
Magnetic moment, μB per formula unit: 0.00
ΔH_f (0 K), eV/atom: -0.4392

Unit cell a=3.121 b=3.121 c=5.956 alpha=90.00 beta=90.00 gamma=90.00
Fractional positions:
Re (0.500, 0.500, 0.500)
Ti (0.000, 0.000, 0.751)
Ti (0.000, 0.000, 0.249)
Ni (0.500, 0.500, 0.000)


Record 2
Computed, not measured: a geometry-optimized Ti3ReNi2 structure at the GGA-PBE level of DFT.

## Properties
Magnetic moment, μB per formula unit: 0.00
ΔH_f (0 K), eV/atom: -0.4047

Unit cell a=3.116 b=3.116 c=8.798 alpha=90.00 beta=90.00 gamma=90.00
Fractional positions:
Ti (0.000, 0.000, 0.000)
Ti (0.000, 0.000, 0.669)
Ti (0.000, 0.000, 0.331)
Re (0.500, 0.500, 0.500)
Ni (0.500, 0.500, 0.843)
Ni (0.500, 0.500, 0.157)


Record 3
Computed, not measured: a geometry-optimized Ti12Re3Ni5 structure at the GGA-PBE level of DFT.

## Properties
Magnetic moment, μB per formula unit: 0.00
ΔH_f (0 K), eV/atom: 0.3548

Unit cell a=12.432 b=12.432 c=12.432 alpha=109.47 beta=109.47 gamma=109.47
Fractional positions:
Re (0.750, 0.375, 0.125)
Re (0.875, 0.750, 0.125)
Re (0.375, 0.750, 0.625)
Re (0.250, 0.125, 0.375)
Re (0.875, 0.125, 0.250)
Re (0.375, 0.625, 0.250)
Re (0.625, 0.375, 0.750)
Re (0.125, 0.875, 0.750)
Re (0.750, 0.875, 0.625)
Re (0.625, 0.250, 0.375)
Re (0.125, 0.250, 0.875)
Re (0.250, 0.625, 0.875)
Ni (0.125, 0.375, 0.250)
Ni (0.000, 0.500, 0.000)
Ni (0.000, 0.000, 0.000)
Ni (0.375, 0.250, 0.125)
Ni (0.500, 0.000, 0.500)
Ni (0.500, 0.500, 0.000)
Ni (0.125, 0.750, 0.375)
Ni (0.750, 0.125, 0.875)
Ni (0.750, 0.625, 0.375)
Ni (0.375, 0.125, 0.750)
Ni (0.625, 0.875, 0.250)
Ni (0.500, 0.500, 0.500)
Ni (0.500, 0.000, 0.000)
Ni (0.000, 0.000, 0.500)
Ni (0.250, 0.375, 0.625)
Ni (0.250, 0.875, 0.125)
Ni (0.000, 0.500, 0.500)
Ni (0.875, 0.250, 0.625)
Ni (0.625, 0.750, 0.875)
Ni (0.875, 0.625, 0.750)
Ti (0.721, 0.133, 0.052)
Ti (0.331, 0.552, 0.419)
Ti (0.948, 0.367, 0.279)
Ti (0.552, 0.221, 0.133)
Ti (0.589, 0.721, 0.669)
Ti (0.948, 0.581, 0.169)
Ti (0.331, 0.779, 0.411)
Ti (0.081, 0.911, 0.133)
Ti (0.581, 0.948, 0.669)
Ti (0.721, 0.589, 0.169)
Ti (0.779, 0.448, 0.367)
Ti (0.831, 0.919, 0.052)
Ti (0.133, 0.721, 0.552)
Ti (0.367, 0.419, 0.089)
Ti (0.089, 0.919, 0.367)
Ti (0.411, 0.133, 0.581)
Ti (0.089, 0.169, 0.221)
Ti (0.448, 0.669, 0.081)
Ti (0.831, 0.911, 0.279)
Ti (0.133, 0.411, 0.081)
Ti (0.367, 0.948, 0.779)
Ti (0.581, 0.633, 0.411)
Ti (0.919, 0.831, 0.552)
Ti (0.779, 0.331, 0.911)
Ti (0.419, 0.367, 0.589)
Ti (0.081, 0.169, 0.448)
Ti (0.221, 0.669, 0.089)
Ti (0.169, 0.089, 0.721)
Ti (0.633, 0.052, 0.221)
Ti (0.867, 0.589, 0.919)
Ti (0.552, 0.331, 0.919)
Ti (0.589, 0.867, 0.419)
Ti (0.911, 0.831, 0.779)
Ti (0.911, 0.081, 0.633)
Ti (0.867, 0.279, 0.448)
Ti (0.169, 0.081, 0.948)
Ti (0.633, 0.581, 0.911)
Ti (0.419, 0.052, 0.331)
Ti (0.279, 0.411, 0.831)
Ti (0.221, 0.552, 0.633)
Ti (0.919, 0.089, 0.867)
Ti (0.669, 0.221, 0.589)
Ti (0.448, 0.779, 0.867)
Ti (0.052, 0.419, 0.831)
Ti (0.411, 0.279, 0.331)
Ti (0.052, 0.633, 0.721)
Ti (0.669, 0.448, 0.581)
Ti (0.279, 0.867, 0.948)


Record 4
Computed, not measured: a geometry-optimized Ti2ReNi structure at the GGA-PBE level of DFT.

## Properties
Magnetic moment, μB per formula unit: 0.00
ΔH_f (0 K), eV/atom: 0.1641

Unit cell a=6.764 b=6.764 c=5.476 alpha=51.87 beta=51.87 gamma=90.00
Fractional positions:
Re (0.000, 0.000, 0.000)
Re (0.750, 0.250, 0.500)
Ti (0.609, 0.125, 0.250)
Ti (0.141, 0.625, 0.250)
Ti (0.375, 0.391, 0.750)
Ti (0.875, 0.859, 0.750)
Ni (0.500, 0.500, 0.000)
Ni (0.250, 0.750, 0.500)


Record 5
Computed, not measured: a geometry-optimized TiRe3Ni structure at the GGA-PBE level of DFT.

## Properties
Magnetic moment, μB per formula unit: 0.00
ΔH_f (0 K), eV/atom: 2.0597

Unit cell a=4.491 b=4.491 c=4.491 alpha=90.00 beta=90.00 gamma=90.00
Fractional positions:
Re (0.000, 0.500, 0.000)
Re (0.000, 0.000, 0.500)
Re (0.500, 0.000, 0.000)
Ti (0.000, 0.000, 0.000)
Ni (0.500, 0.500, 0.500)


Record 6
Computed, not measured: a geometry-optimized Ti2ReNi structure at the GGA-PBE level of DFT.

## Properties
Magnetic moment, μB per formula unit: 0.00
ΔH_f (0 K), eV/atom: -0.2572

Unit cell a=2.720 b=5.020 c=8.881 alpha=98.89 beta=93.47 gamma=101.60
Fractional positions:
Re (0.745, 0.922, 0.978)
Re (0.922, 0.586, 0.723)
Ti (0.595, 0.734, 0.457)
Ti (0.229, 0.413, 0.978)
Ti (0.591, 0.217, 0.244)
Ti (0.433, 0.078, 0.723)
Ni (0.042, 0.721, 0.209)
Ni (0.105, 0.244, 0.494)


Record 7
Computed, not measured: a geometry-optimized Ti2ReNi structure at the GGA-PBE level of DFT.

## Properties
Magnetic moment, μB per formula unit: 0.00
ΔH_f (0 K), eV/atom: -0.2966

Unit cell a=6.013 b=4.272 c=9.592 alpha=90.00 beta=108.43 gamma=90.00
Fractional positions:
Re (0.442, 0.000, 0.623)
Re (0.558, 0.000, 0.377)
Re (0.442, 0.500, 0.123)
Re (0.558, 0.500, 0.877)
Ti (0.812, 0.000, 0.867)
Ti (0.188, 0.000, 0.133)
Ti (0.812, 0.500, 0.367)
Ti (0.188, 0.500, 0.633)
Ti (0.696, 0.000, 0.135)
Ti (0.304, 0.000, 0.865)
Ti (0.696, 0.500, 0.635)
Ti (0.304, 0.500, 0.365)
Ni (0.934, 0.000, 0.613)
Ni (0.066, 0.000, 0.387)
Ni (0.934, 0.500, 0.113)
Ni (0.066, 0.500, 0.887)


Record 8
Computed, not measured: a geometry-optimized TiRe3Ni structure at the GGA-PBE level of DFT.

## Properties
Magnetic moment, μB per formula unit: 0.00
ΔH_f (0 K), eV/atom: 1.4440

Unit cell a=4.417 b=4.417 c=4.417 alpha=90.00 beta=90.00 gamma=90.00
Fractional positions:
Re (0.000, 0.500, 0.000)
Re (0.000, 0.000, 0.500)
Re (0.500, 0.000, 0.000)
Ti (0.500, 0.500, 0.500)
Ni (0.000, 0.000, 0.000)


Record 9
Computed, not measured: a geometry-optimized TiRe2Ni structure at the GGA-PBE level of DFT.

## Properties
Magnetic moment, μB per formula unit: 0.00
ΔH_f (0 K), eV/atom: 0.5451

Unit cell a=7.015 b=7.015 c=5.561 alpha=50.89 beta=50.89 gamma=90.00
Fractional positions:
Re (0.655, 0.125, 0.250)
Re (0.095, 0.625, 0.250)
Re (0.375, 0.345, 0.750)
Re (0.875, 0.905, 0.750)
Ti (0.500, 0.500, 0.000)
Ti (0.250, 0.750, 0.500)
Ni (0.000, 0.000, 0.000)
Ni (0.750, 0.250, 0.500)


Record 10
Computed, not measured: a geometry-optimized Ti3ReNi structure at the GGA-PBE level of DFT.

## Properties
Magnetic moment, μB per formula unit: 0.00
ΔH_f (0 K), eV/atom: 0.6253

Unit cell a=4.417 b=4.417 c=4.417 alpha=90.00 beta=90.00 gamma=90.00
Fractional positions:
Re (0.500, 0.500, 0.500)
Ti (0.000, 0.500, 0.000)
Ti (0.000, 0.000, 0.500)
Ti (0.500, 0.000, 0.000)
Ni (0.000, 0.000, 0.000)


Record 11
Computed, not measured: a geometry-optimized Ti4ReNi structure at the GGA-PBE level of DFT.

## Properties
Magnetic moment, μB per formula unit: 0.02
ΔH_f (0 K), eV/atom: 0.1021

Unit cell a=4.333 b=4.326 c=7.031 alpha=72.21 beta=72.05 gamma=59.95
Fractional positions:
Ti (0.624, 0.624, 0.127)
Ti (0.376, 0.376, 0.873)
Ti (0.128, 0.128, 0.616)
Ti (0.872, 0.872, 0.384)
Re (0.000, 0.000, 0.000)
Ni (0.500, 0.500, 0.500)


Record 12
Computed, not measured: a geometry-optimized Ti4Re3Ni structure at the GGA-PBE level of DFT.

## Properties
Magnetic moment, μB per formula unit: 0.00
ΔH_f (0 K), eV/atom: -0.4239

Unit cell a=3.120 b=3.120 c=12.249 alpha=90.00 beta=90.00 gamma=90.00
Fractional positions:
Re (0.500, 0.500, 0.243)
Re (0.500, 0.500, 0.500)
Re (0.500, 0.500, 0.757)
Ni (0.500, 0.500, 0.000)
Ti (0.000, 0.000, 0.876)
Ti (0.000, 0.000, 0.124)
Ti (0.000, 0.000, 0.373)
Ti (0.000, 0.000, 0.627)